Record 1
The following is a GGA-PBE calculation of crystalline K2VI2Cl4 at its relaxed geometry, from Alexandria via LeMat-Bulk.

Structure (POSCAR):
```
K2VI2Cl4
1.0
-0.783 2.821 6.923
3.866 -6.324 -1.249
4.409 3.305 -5.112
Cl I V K
4 2 1 2
direct
0.444 0.222 0.222
0.000 0.222 0.778
0.556 0.778 0.778
0.000 0.778 0.222
0.000 0.256 0.256
0.000 0.744 0.744
0.000 0.000 0.000
0.500 0.750 0.250
0.500 0.250 0.750
```

## Properties
D(E_F)	6.547	states/eV/f.u.
calculated volume	293.2	Å³ per cell
space-group type	I4/mmm, No. 139
energy relative to the elements, uncorrected	-11.53	eV/f.u.

***

Record 2
The following is a GGA-PBE calculation of crystalline Sc4In2Ag3 at its relaxed geometry, from Alexandria via LeMat-Bulk.

Structure (POSCAR):
```
Sc4In2Ag3
1.0
-2.708 -3.241 1.712
0.385 -0.736 5.281
-5.012 6.340 4.075
In Ag Sc
2 3 4
direct
0.693 0.615 0.242
0.307 0.385 0.758
0.348 0.304 0.442
0.000 0.000 0.000
0.652 0.696 0.558
0.343 0.314 0.112
0.657 0.686 0.888
0.971 0.058 0.660
0.029 0.942 0.340
```

## Properties
D(E_F)	7.801	states/eV/f.u.
calculated volume	187.5	Å³ per cell
space-group type	C2/m, No. 12
uncorrected energy	-4.66	eV/atom

***

Record 3
The following is a GGA-PBE calculation of crystalline K2BiHPb at its relaxed geometry, from Alexandria via LeMat-Bulk.

Structure (POSCAR):
```
K2BiHPb
1.0
5.138 0.000 0.000
0.000 5.138 0.000
0.000 0.000 5.403
H Bi K Pb
1 1 2 1
direct
0.000 0.000 0.000
0.500 0.500 0.500
0.500 0.000 0.000
0.000 0.500 0.000
0.000 0.000 0.500
```

## Properties
D(E_F)	1.781	states/eV/f.u.
calculated volume	142.6	Å³ per cell
space-group type	P4/mmm, No. 123
uncorrected energy	-2.77	eV/atom

***

Record 4
The following is a GGA-PBE calculation of crystalline Hf2ScGaI at its relaxed geometry, from Alexandria via LeMat-Bulk.

Structure (POSCAR):
```
Hf2ScGaI
1.0
5.045 0.000 0.000
0.000 5.527 0.000
0.000 0.000 5.045
Hf Sc Ga I
2 1 1 1
direct
0.500 0.000 0.000
0.000 0.000 0.500
0.500 0.500 0.500
0.000 0.000 0.000
0.000 0.500 0.000
```

## Properties
D(E_F)	9.154	states/eV/f.u.
calculated volume	140.7	Å³ per cell
space-group type	P4/mmm, No. 123
energy relative to the elements, uncorrected	4.22	eV/f.u.

***

Record 5
The following is a GGA-PBE calculation of crystalline LiHgSb2 at its relaxed geometry, from Alexandria via LeMat-Bulk.

Structure (POSCAR):
```
LiHgSb2
1.0
4.457 0.000 0.000
0.000 3.078 -0.047
0.000 0.148 7.621
Sb Hg Li
2 1 1
direct
0.000 0.252 0.551
0.000 0.248 0.949
0.500 0.250 0.250
0.500 0.750 0.750
```

## Properties
D(E_F)	0.694	states/eV/f.u.
calculated volume	104.6	Å³ per cell
space-group type	P2/m, No. 10
energy relative to the elements, uncorrected	-0.53	eV/f.u.